{"formula": "TmPuFe2O8", "functional": "PBE+U", "state": "optimized geometry", "lattice_angstrom": [[5.888, 0.286, 0.000], [-2.355, 5.405, 0.000], [-1.767, -2.845, 4.852]], "species": ["Fe", "Fe", "O", "O", "O", "O", "O", "O", "O", "O", "Pu", "Tm"], "fractional_positions": [[0.750, 0.250, 0.500], [0.500, 0.500, 0.000], [0.305, 0.505, 0.200], [0.735, 0.052, 0.684], [0.495, 0.695, 0.800], [0.948, 0.632, 0.684], [0.305, 0.106, 0.800], [0.368, 0.052, 0.316], [0.894, 0.695, 0.200], [0.948, 0.265, 0.316], [0.250, 0.750, 0.500], [0.000, 0.000, 0.000]], "total_energy_ev_per_atom": -7.807, "crystal_system": "tetragonal", "total_magnetization_mub_per_atom": 0.624, "spacegroup": "No. 119"}